[1]
# ThPaSn2, optimized geometry, DFT GGA-PBE
data_ThPaSn2
_chemical_formula_sum 'Th1 Pa1 Sn2'
_symmetry_space_group_name_H-M 'P 1'
_symmetry_Int_Tables_number 1
_cell_length_a 11.049
_cell_length_b 11.049
_cell_length_c 11.049
_cell_angle_alpha 17.68
_cell_angle_beta 17.68
_cell_angle_gamma 17.68
loop_
_symmetry_equiv_pos_as_xyz
'x,y,z'
loop_
_atom_site_label
_atom_site_fract_x
_atom_site_fract_y
_atom_site_fract_z
Th1 0.000 0.000 0.000
Pa1 0.500 0.500 0.500
Sn1 0.248 0.248 0.248
Sn2 0.752 0.752 0.752
# - energy (eV per atom) = -6.45
# - symmetry = No. 166
# - polymorph energy (0 for the lowest one) (meV per atom) = 89
# - E_form (eV/f.u.) = -0.9
# - DOS at the Fermi energy (states/eV per cell) = 3.82

[2]
# Pa2TiSn, optimized geometry, DFT GGA-PBE
data_Pa2TiSn
_chemical_formula_sum 'Pa2 Ti1 Sn1'
_symmetry_space_group_name_H-M 'P 1'
_symmetry_Int_Tables_number 1
_cell_length_a 4.320
_cell_length_b 4.320
_cell_length_c 4.829
_cell_angle_alpha 90.00
_cell_angle_beta 90.00
_cell_angle_gamma 90.00
loop_
_symmetry_equiv_pos_as_xyz
'x,y,z'
loop_
_atom_site_label
_atom_site_fract_x
_atom_site_fract_y
_atom_site_fract_z
Pa1 0.000 0.500 0.000
Pa2 0.500 0.000 0.000
Ti1 0.000 0.000 0.500
Sn1 0.500 0.500 0.500
# - energy (eV per atom) = -7.91
# - symmetry = No. 123
# - polymorph energy (0 for the lowest one) (meV per atom) = 0
# - E_form (eV/f.u.) = -0.7
# - DOS at the Fermi energy (states/eV per cell) = 6.83

[3]
# Pa2TiSn, optimized geometry, DFT GGA-PBE
data_Pa2TiSn
_chemical_formula_sum 'Pa4 Ti2 Sn2'
_symmetry_space_group_name_H-M 'P 1'
_symmetry_Int_Tables_number 1
_cell_length_a 4.128
_cell_length_b 4.210
_cell_length_c 10.822
_cell_angle_alpha 90.00
_cell_angle_beta 101.07
_cell_angle_gamma 90.00
loop_
_symmetry_equiv_pos_as_xyz
'x,y,z'
loop_
_atom_site_label
_atom_site_fract_x
_atom_site_fract_y
_atom_site_fract_z
Pa1 0.060 0.250 0.119
Pa2 0.432 0.250 0.865
Pa3 0.568 0.750 0.135
Pa4 0.940 0.750 0.881
Ti1 0.186 0.750 0.368
Ti2 0.814 0.250 0.632
Sn1 0.316 0.750 0.636
Sn2 0.684 0.250 0.364
# - energy (eV per atom) = -7.77
# - symmetry = No. 11
# - polymorph energy (0 for the lowest one) (meV per atom) = 143
# - E_form (eV/f.u.) = -0.2
# - DOS at the Fermi energy (states/eV per cell) = 12.51

[4]
# PaTi6Sn, optimized geometry, DFT GGA-PBE
data_PaTi6Sn
_chemical_formula_sum 'Pa1 Ti6 Sn1'
_symmetry_space_group_name_H-M 'P 1'
_symmetry_Int_Tables_number 1
_cell_length_a 4.944
_cell_length_b 4.944
_cell_length_c 7.510
_cell_angle_alpha 103.18
_cell_angle_beta 103.18
_cell_angle_gamma 67.19
loop_
_symmetry_equiv_pos_as_xyz
'x,y,z'
loop_
_atom_site_label
_atom_site_fract_x
_atom_site_fract_y
_atom_site_fract_z
Pa1 0.000 0.000 0.000
Ti1 0.056 0.546 0.704
Ti2 0.371 0.371 0.071
Ti3 0.454 0.944 0.296
Ti4 0.546 0.056 0.704
Ti5 0.629 0.629 0.929
Ti6 0.944 0.454 0.296
Sn1 0.500 0.500 0.500
# - energy (eV per atom) = -7.44
# - symmetry = No. 12
# - E_form (eV/f.u.) = 1.4
# - DOS at the Fermi energy (states/eV per cell) = 8.85

[5]
# PaTi5Sn3, optimized geometry, DFT GGA-PBE
data_PaTi5Sn3
_chemical_formula_sum 'Pa2 Ti10 Sn6'
_symmetry_space_group_name_H-M 'P 1'
_symmetry_Int_Tables_number 1
_cell_length_a 8.354
_cell_length_b 8.354
_cell_length_c 5.822
_cell_angle_alpha 90.00
_cell_angle_beta 90.00
_cell_angle_gamma 120.00
loop_
_symmetry_equiv_pos_as_xyz
'x,y,z'
loop_
_atom_site_label
_atom_site_fract_x
_atom_site_fract_y
_atom_site_fract_z
Pa1 0.000 0.000 0.000
Pa2 0.000 0.000 0.500
Ti1 0.000 0.320 0.250
Ti2 0.000 0.680 0.750
Ti3 0.320 0.000 0.250
Ti4 0.320 0.320 0.750
Ti5 0.333 0.667 0.000
Ti6 0.333 0.667 0.500
Ti7 0.667 0.333 0.000
Ti8 0.667 0.333 0.500
Ti9 0.680 0.000 0.750
Ti10 0.680 0.680 0.250
Sn1 0.000 0.352 0.750
Sn2 0.000 0.648 0.250
Sn3 0.352 0.000 0.750
Sn4 0.352 0.352 0.250
Sn5 0.648 0.000 0.250
Sn6 0.648 0.648 0.750
# - energy (eV per atom) = -7.07
# - symmetry = No. 193
# - E_form (eV/f.u.) = -2.6
# - DOS at the Fermi energy (states/eV per cell) = 18.18

[6]
# PaTi4Sn, optimized geometry, DFT GGA-PBE
data_PaTi4Sn
_chemical_formula_sum 'Pa1 Ti4 Sn1'
_symmetry_space_group_name_H-M 'P 1'
_symmetry_Int_Tables_number 1
_cell_length_a 5.508
_cell_length_b 5.508
_cell_length_c 5.508
_cell_angle_alpha 60.00
_cell_angle_beta 60.00
_cell_angle_gamma 60.00
loop_
_symmetry_equiv_pos_as_xyz
'x,y,z'
loop_
_atom_site_label
_atom_site_fract_x
_atom_site_fract_y
_atom_site_fract_z
Pa1 0.000 0.000 0.000
Ti1 0.373 0.373 0.373
Ti2 0.373 0.373 0.881
Ti3 0.373 0.881 0.373
Ti4 0.881 0.373 0.373
Sn1 0.750 0.750 0.750
# - energy (eV per atom) = -7.42
# - symmetry = No. 216
# - polymorph energy (0 for the lowest one) (meV per atom) = 0
# - E_form (eV/f.u.) = 0.6
# - DOS at the Fermi energy (states/eV per cell) = 12.24

[7]
# PaTi4Sn, optimized geometry, DFT GGA-PBE
data_PaTi4Sn
_chemical_formula_sum 'Pa2 Ti8 Sn2'
_symmetry_space_group_name_H-M 'P 1'
_symmetry_Int_Tables_number 1
_cell_length_a 7.924
_cell_length_b 7.924
_cell_length_c 5.490
_cell_angle_alpha 110.24
_cell_angle_beta 110.24
_cell_angle_gamma 49.07
loop_
_symmetry_equiv_pos_as_xyz
'x,y,z'
loop_
_atom_site_label
_atom_site_fract_x
_atom_site_fract_y
_atom_site_fract_z
Pa1 0.001 0.001 0.265
Pa2 0.999 0.999 0.735
Ti1 0.143 0.587 0.361
Ti2 0.189 0.189 0.187
Ti3 0.318 0.682 0.000
Ti4 0.413 0.857 0.639
Ti5 0.587 0.143 0.361
Ti6 0.682 0.318 0.000
Ti7 0.811 0.811 0.813
Ti8 0.857 0.413 0.639
Sn1 0.303 0.303 0.799
Sn2 0.697 0.697 0.201
# - energy (eV per atom) = -7.22
# - symmetry = No. 12
# - polymorph energy (0 for the lowest one) (meV per atom) = 201
# - E_form (eV/f.u.) = 1.8
# - DOS at the Fermi energy (states/eV per cell) = 18.80

[8]
# Pa6TiSn10, optimized geometry, DFT GGA-PBE
data_Pa6TiSn10
_chemical_formula_sum 'Pa6 Ti1 Sn10'
_symmetry_space_group_name_H-M 'P 1'
_symmetry_Int_Tables_number 1
_cell_length_a 9.133
_cell_length_b 9.133
_cell_length_c 6.074
_cell_angle_alpha 90.00
_cell_angle_beta 90.00
_cell_angle_gamma 120.00
loop_
_symmetry_equiv_pos_as_xyz
'x,y,z'
loop_
_atom_site_label
_atom_site_fract_x
_atom_site_fract_y
_atom_site_fract_z
Pa1 0.000 0.389 0.254
Pa2 0.000 0.611 0.746
Pa3 0.389 0.000 0.254
Pa4 0.389 0.389 0.746
Pa5 0.611 0.000 0.746
Pa6 0.611 0.611 0.254
Ti1 0.000 0.000 0.500
Sn1 0.000 0.250 0.770
Sn2 0.000 0.750 0.230
Sn3 0.250 0.000 0.770
Sn4 0.250 0.250 0.230
Sn5 0.333 0.667 0.000
Sn6 0.333 0.667 0.500
Sn7 0.667 0.333 0.000
Sn8 0.667 0.333 0.500
Sn9 0.750 0.000 0.230
Sn10 0.750 0.750 0.770
# - energy (eV per atom) = -6.41
# - symmetry = No. 162
# - E_form (eV/f.u.) = -4.1
# - DOS at the Fermi energy (states/eV per cell) = 19.36

- Which value of energy does entry 8 give?
  -6.41 eV per atom

- Which value of energy does entry 2 give?
  -7.91 eV per atom

- Among the records above, which one has the highest DOS at the Fermi energy?
  Pa6TiSn10

- Which value of E_form does entry 6 give?
  0.6 eV/f.u.